Computed, not measured: KNiBrF2 after structural relaxation at the PBE with a Hubbard U level of DFT.

Summary:
N(E_F), states/eV per atom: 0.0000
Raw total energy, eV/atom: -3.693

a b c (Å): 3.853 6.819 7.485
angles (deg): 90.00 90.00 106.41
Last column: magnetic moment on the atom in μB.
Element x y z (fractional)
K (0.728, 0.456, 0.750)  0.00
K (0.272, 0.544, 0.250)  0.00
Ni (0.000, 0.000, 0.000)  1.77
Ni (0.000, 0.000, 0.500)  1.77
Br (0.464, 0.928, 0.750)  0.10
Br (0.536, 0.072, 0.250)  0.10
F (0.143, 0.286, 0.960)  0.02
F (0.857, 0.714, 0.040)  0.02
F (0.143, 0.286, 0.540)  0.02
F (0.857, 0.714, 0.460)  0.02